This record from Alexandria via LeMat-Bulk describes an optimized crystal structure of Li3CuS3. The functional is PBE.

Properties
For the energy, the calculation gives -4.00 eV per atom. Its formation energy without anion corrections is -5.8 eV per formula unit.

The structure in CIF format:
```
data_Li3CuS3
_cell_length_a 10.7108
_cell_length_b 10.7108
_cell_length_c 4.5506
_cell_angle_alpha 90.00
_cell_angle_beta 90.00
_cell_angle_gamma 90.00
_symmetry_space_group_name_H-M 'P 42/m n m'
_symmetry_Int_Tables_number 136
_symmetry_space_group_name_Hall '-P 4n 2n'
loop_
_atom_site_label
_atom_site_type_symbol
_atom_site_fract_x
_atom_site_fract_y
_atom_site_fract_z
Li1 Li 0.1109 0.3804 0.0000
Li2 Li 0.1637 0.1637 0.5000
Cu1 Cu 0.1140 0.8860 0.0000
S1 S 0.0930 0.0930 0.0000
S2 S 0.1085 0.6767 0.0000
```